Entry 1:
Density functional theory data (meta-GGA SCAN) for a PBEsol-optimized structure of Sr4SiAs4.

Output
Formation energy (no corrections) = -1.17 eV/atom
Space group = P-43n (218)
Volume = 2026.76 Å³/cell
Theoretical density = 4.45 g/cm³

Cell lengths 12.6552, 12.6552, 12.6552 Å; angles 90.00, 90.00, 90.00 degrees
Element x y z (fractional)
As1 0.1478 0.1175 0.3934
As2 0.8522 0.8825 0.3934
As3 0.8522 0.1175 0.6066
As4 0.1478 0.8825 0.6066
As5 0.3934 0.1478 0.1175
As6 0.3934 0.8522 0.8825
As7 0.6066 0.8522 0.1175
As8 0.6066 0.1478 0.8825
As9 0.1175 0.3934 0.1478
As10 0.8825 0.3934 0.8522
As11 0.1175 0.6066 0.8522
As12 0.8825 0.6066 0.1478
As13 0.6175 0.6478 0.8934
As14 0.3825 0.3522 0.8934
As15 0.6175 0.3522 0.1066
As16 0.3825 0.6478 0.1066
As17 0.6478 0.8934 0.6175
As18 0.3522 0.8934 0.3825
As19 0.3522 0.1066 0.6175
As20 0.6478 0.1066 0.3825
As21 0.8934 0.6175 0.6478
As22 0.8934 0.3825 0.3522
As23 0.1066 0.6175 0.3522
As24 0.1066 0.3825 0.6478
As25 0.3915 0.3915 0.3915
As26 0.6085 0.6085 0.3915
As27 0.6085 0.3915 0.6085
As28 0.3915 0.6085 0.6085
As29 0.8915 0.8915 0.8915
As30 0.1085 0.1085 0.8915
As31 0.8915 0.1085 0.1085
As32 0.1085 0.8915 0.1085
Si1 0.2500 0.0000 0.5000
Si2 0.7500 0.0000 0.5000
Si3 0.5000 0.2500 0.0000
Si4 0.5000 0.7500 0.0000
Si5 0.0000 0.5000 0.2500
Si6 0.0000 0.5000 0.7500
Si7 0.0000 0.0000 0.0000
Si8 0.5000 0.5000 0.5000
Sr1 0.4034 0.1441 0.3681
Sr2 0.5966 0.8559 0.3681
Sr3 0.5966 0.1441 0.6319
Sr4 0.4034 0.8559 0.6319
Sr5 0.3681 0.4034 0.1441
Sr6 0.3681 0.5966 0.8559
Sr7 0.6319 0.5966 0.1441
Sr8 0.6319 0.4034 0.8559
Sr9 0.1441 0.3681 0.4034
Sr10 0.8559 0.3681 0.5966
Sr11 0.1441 0.6319 0.5966
Sr12 0.8559 0.6319 0.4034
Sr13 0.6441 0.9034 0.8681
Sr14 0.3559 0.0966 0.8681
Sr15 0.6441 0.0966 0.1319
Sr16 0.3559 0.9034 0.1319
Sr17 0.9034 0.8681 0.6441
Sr18 0.0966 0.8681 0.3559
Sr19 0.0966 0.1319 0.6441
Sr20 0.9034 0.1319 0.3559
Sr21 0.8681 0.6441 0.9034
Sr22 0.8681 0.3559 0.0966
Sr23 0.1319 0.6441 0.0966
Sr24 0.1319 0.3559 0.9034
Sr25 0.6443 0.6443 0.6443
Sr26 0.3557 0.3557 0.6443
Sr27 0.3557 0.6443 0.3557
Sr28 0.6443 0.3557 0.3557
Sr29 0.1443 0.1443 0.1443
Sr30 0.8557 0.8557 0.1443
Sr31 0.1443 0.8557 0.8557
Sr32 0.8557 0.1443 0.8557

=====

Entry 2:
Density functional theory data (meta-GGA SCAN) for a PBEsol-optimized structure of Sr3Si2As4.

Output
Formation energy (no corrections) = -0.96 eV/atom
Space group = C2/c (15)
Volume = 474.88 Å³/cell
Theoretical density = 4.33 g/cm³

Cell lengths 7.3342, 8.0956, 9.5497 Å; angles 108.01, 104.92, 107.37 degrees
Element x y z (fractional)
As1 0.7713 0.0498 0.6071
As2 0.3358 0.5572 0.6071
As3 0.2287 0.9502 0.3929
As4 0.6642 0.4428 0.3929
As5 0.4408 0.1892 0.8698
As6 0.9290 0.6806 0.8698
As7 0.5592 0.8108 0.1302
As8 0.0710 0.3194 0.1302
Si1 0.4864 0.8308 0.3576
Si2 0.3712 0.5268 0.3576
Si3 0.5136 0.1692 0.6424
Si4 0.6288 0.4732 0.6424
Sr1 0.9359 0.1859 0.3717
Sr2 0.0641 0.8141 0.6283
Sr3 0.1841 0.4341 0.8682
Sr4 0.8159 0.5659 0.1318
Sr5 0.3089 0.0589 0.1178
Sr6 0.6911 0.9411 0.8822

=====

Entry 3:
Density functional theory data (meta-GGA SCAN) for a PBEsol-optimized structure of SrSiAs2.

Output
Formation energy (no corrections) = -0.71 eV/atom
Space group = I-42d (122)
Volume = 198.18 Å³/cell
Theoretical density = 4.45 g/cm³

Cell lengths 6.3758, 6.3758, 6.3758 Å; angles 104.02, 112.27, 112.27 degrees
Element x y z (fractional)
Sr1 0.5000 0.7500 0.2500
Sr2 0.0000 0.0000 0.0000
As1 0.9167 0.5417 0.1250
As2 0.0833 0.2083 0.6250
As3 0.4167 0.8750 0.7917
As4 0.5833 0.3750 0.4583
Si1 0.5000 0.2500 0.7500
Si2 0.0000 0.5000 0.5000

=====

Entry 4:
Density functional theory data (meta-GGA SCAN) for a PBEsol-optimized structure of SrSiAs2.

Output
Formation energy (no corrections) = -0.34 eV/atom
Space group = R-3m (166)
Volume = 89.92 Å³/cell
Theoretical density = 4.90 g/cm³

Cell lengths 3.8234, 3.8234, 7.4378 Å; angles 75.11, 75.11, 60.00 degrees
Element x y z (fractional)
Sr1 0.0000 0.0000 0.0000
As1 0.2296 0.2296 0.3111
As2 0.7704 0.7704 0.6889
Si1 0.5000 0.5000 0.5000

=====

Entry 5:
Density functional theory data (meta-GGA SCAN) for a PBEsol-optimized structure of SrSiAs2.

Output
Formation energy (no corrections) = -0.16 eV/atom
Space group = P4mm (99)
Volume = 87.97 Å³/cell
Theoretical density = 5.01 g/cm³

Cell lengths 3.7562, 3.7562, 6.2347 Å; angles 90.00, 90.00, 89.98 degrees
Element x y z (fractional)
Sr1 0.5000 0.5000 0.2366
As1 0.0000 0.0000 0.9597
As2 0.5000 0.5000 0.7220
Si1 0.0000 0.0000 0.5817

=====

Entry 6:
Density functional theory data (meta-GGA SCAN) for a PBEsol-optimized structure of SrSiTeAs2.

Output
Formation energy (no corrections) = -0.16 eV/atom
Space group = P4/mmm (123)
Volume = 126.93 Å³/cell
Theoretical density = 5.14 g/cm³

Cell lengths 4.8556, 4.8556, 5.3835 Å; angles 90.00, 90.00, 90.00 degrees
Element x y z (fractional)
Sr1 0.5000 0.5000 0.5000
As1 0.0000 0.5000 0.0000
As2 0.5000 0.0000 0.0000
Te1 0.0000 0.0000 0.5000
Si1 0.0000 0.0000 0.0000

=====

Entry 7:
Density functional theory data (meta-GGA SCAN) for a PBEsol-optimized structure of Ta2SiAs.

Output
Formation energy (no corrections) = -0.07 eV/atom
Space group = Pmmm (47)
Volume = 64.14 Å³/cell
Theoretical density = 12.04 g/cm³

Cell lengths 3.4865, 3.8460, 4.7835 Å; angles 90.00, 90.00, 90.00 degrees
Element x y z (fractional)
As1 0.5000 0.5000 0.0000
Si1 0.0000 0.5000 0.5000
Ta1 0.0000 0.0000 0.0000
Ta2 0.5000 0.0000 0.5000

=====

Entry 8:
Density functional theory data (meta-GGA SCAN) for a PBEsol-optimized structure of TaSi2As.

Output
Formation energy (no corrections) = 0.31 eV/atom
Space group = R-3m (166)
Volume = 65.14 Å³/cell
Theoretical density = 7.95 g/cm³

Cell lengths 2.8649, 2.8649, 9.3117 Å; angles 81.15, 81.15, 60.00 degrees
Element x y z (fractional)
As1 0.0000 0.0000 0.0000
Si1 0.2450 0.2450 0.2651
Si2 0.7550 0.7550 0.7349
Ta1 0.5000 0.5000 0.5000

=====

Entry 9:
Density functional theory data (meta-GGA SCAN) for a PBEsol-optimized structure of TaSiAs2.

Output
Formation energy (no corrections) = 0.29 eV/atom
Space group = R-3m (166)
Volume = 70.20 Å³/cell
Theoretical density = 8.49 g/cm³

Cell lengths 2.9915, 2.9915, 9.2209 Å; angles 80.66, 80.66, 60.00 degrees
Element x y z (fractional)
As1 0.2572 0.2572 0.2284
As2 0.7428 0.7428 0.7716
Si1 0.5000 0.5000 0.5000
Ta1 0.0000 0.0000 0.0000

=====

Entry 10:
Density functional theory data (meta-GGA SCAN) for a PBEsol-optimized structure of TaSiAs2.

Output
Formation energy (no corrections) = 0.34 eV/atom
Space group = I-4m2 (119)
Volume = 65.41 Å³/cell
Theoretical density = 9.11 g/cm³

Cell lengths 3.8458, 3.8458, 5.1919 Å; angles 111.74, 111.74, 90.00 degrees
Element x y z (fractional)
As1 0.0000 0.0000 0.0000
As2 0.7500 0.2500 0.5000
Si1 0.5000 0.5000 0.0000
Ta1 0.2500 0.7500 0.5000

=====

Entry 11:
Density functional theory data (meta-GGA SCAN) for a PBEsol-optimized structure of TaSiAs2.

Output
Formation energy (no corrections) = 0.36 eV/atom
Space group = P4/mmm (123)
Volume = 64.63 Å³/cell
Theoretical density = 9.22 g/cm³

Cell lengths 3.2272, 4.4750, 4.4750 Å; angles 90.00, 90.00, 90.00 degrees
Element x y z (fractional)
As1 0.0000 0.0000 0.5000
As2 0.0000 0.5000 0.0000
Si1 0.5000 0.5000 0.5000
Ta1 0.5000 0.0000 0.0000

=====

Entry 12:
Density functional theory data (meta-GGA SCAN) for a PBEsol-optimized structure of TaSiAs2.

Output
Formation energy (no corrections) = 0.00 eV/atom
Space group = Amm2 (38)
Volume = 68.52 Å³/cell
Theoretical density = 8.70 g/cm³

Cell lengths 3.4051, 4.4368, 4.8446 Å; angles 90.00, 110.57, 90.00 degrees
Element x y z (fractional)
As1 0.1702 0.0000 0.3404
As2 0.6015 0.5000 0.2030
Si1 0.8976 0.0000 0.7953
Ta1 0.3189 0.5000 0.6378

=====

Entry 13:
Density functional theory data (meta-GGA SCAN) for a PBEsol-optimized structure of TaSiAs2.

Output
Formation energy (no corrections) = 0.12 eV/atom
Space group = Immm (71)
Volume = 63.67 Å³/cell
Theoretical density = 9.36 g/cm³

Cell lengths 3.3993, 4.5906, 4.9802 Å; angles 117.44, 109.95, 90.00 degrees
Element x y z (fractional)
As1 0.7844 0.7844 0.5689
As2 0.2156 0.2156 0.4311
Si1 0.5000 0.0000 0.0000
Ta1 0.0000 0.5000 0.0000

=====

Entry 14:
Density functional theory data (meta-GGA SCAN) for a PBEsol-optimized structure of TaSiAs.

Output
Formation energy (no corrections) = -0.50 eV/atom
Space group = P4/nmm (129)
Volume = 95.05 Å³/cell
Theoretical density = 9.92 g/cm³

Cell lengths 3.4790, 3.4790, 7.8531 Å; angles 90.00, 90.00, 90.00 degrees
Element x y z (fractional)
As1 0.5000 0.0000 0.6106
As2 0.0000 0.5000 0.3894
Si1 0.0000 0.0000 0.0000
Si2 0.5000 0.5000 0.0000
Ta1 0.5000 0.0000 0.2545
Ta2 0.0000 0.5000 0.7455

=====

Entry 15:
Density functional theory data (meta-GGA SCAN) for a PBEsol-optimized structure of TaSi2As.

Output
Formation energy (no corrections) = 0.31 eV/atom
Space group = I4/mmm (139)
Volume = 61.26 Å³/cell
Theoretical density = 8.46 g/cm³

Cell lengths 3.7698, 3.7698, 5.0680 Å; angles 111.83, 111.83, 90.00 degrees
Element x y z (fractional)
As1 0.0000 0.0000 0.0000
Si1 0.7500 0.2500 0.5000
Si2 0.2500 0.7500 0.5000
Ta1 0.5000 0.5000 0.0000

=====

Entry 16:
Density functional theory data (meta-GGA SCAN) for a PBEsol-optimized structure of Ta4SiAs.

Output
Formation energy (no corrections) = 0.55 eV/atom
Space group = F-43m (216)
Volume = 109.41 Å³/cell
Theoretical density = 12.55 g/cm³

Cell lengths 5.3686, 5.3686, 5.3686 Å; angles 60.00, 60.00, 60.00 degrees
Element x y z (fractional)
As1 0.7500 0.7500 0.7500
Si1 0.0000 0.0000 0.0000
Ta1 0.3745 0.3745 0.3745
Ta2 0.3745 0.3745 0.8766
Ta3 0.8766 0.3745 0.3745
Ta4 0.3745 0.8766 0.3745

=====

Entry 17:
Density functional theory data (meta-GGA SCAN) for a PBEsol-optimized structure of TaSi2As.

Output
Formation energy (no corrections) = 0.28 eV/atom
Space group = Cmmm (65)
Volume = 63.78 Å³/cell
Theoretical density = 8.12 g/cm³

Cell lengths 2.9159, 2.9159, 7.7206 Å; angles 90.00, 90.00, 103.68 degrees
Element x y z (fractional)
As1 0.5000 0.5000 0.0000
Si1 0.0000 0.0000 0.2582
Si2 0.0000 0.0000 0.7418
Ta1 0.5000 0.5000 0.5000

=====

Entry 18:
Density functional theory data (meta-GGA SCAN) for a PBEsol-optimized structure of SiTc3As.

Output
Formation energy (no corrections) = 0.96 eV/atom
Space group = Pm-3m (221)
Volume = 84.03 Å³/cell
Theoretical density = 7.84 g/cm³

Cell lengths 4.3801, 4.3801, 4.3801 Å; angles 90.00, 90.00, 90.00 degrees
Each line ends with the local moment (μB).
Element x y z (fractional)
As1 0.5000 0.5000 0.5000  -0.04
Si1 0.0000 0.0000 0.0000  -0.03
Tc1 0.0000 0.5000 0.0000  0.85
Tc2 0.0000 0.0000 0.5000  0.85
Tc3 0.5000 0.0000 0.0000  0.85

=====

Entry 19:
Density functional theory data (meta-GGA SCAN) for a PBEsol-optimized structure of SiTc2As.

Output
Formation energy (no corrections) = -0.29 eV/atom
Space group = Fm-3m (225)
Volume = 53.30 Å³/cell
Theoretical density = 9.32 g/cm³

Cell lengths 4.2243, 4.2243, 4.2243 Å; angles 60.00, 60.00, 60.00 degrees
Element x y z (fractional)
As1 0.0000 0.0000 0.0000
Si1 0.5000 0.5000 0.5000
Tc1 0.2500 0.2500 0.2500
Tc2 0.7500 0.7500 0.7500

=====

Entry 20:
Density functional theory data (meta-GGA SCAN) for a PBEsol-optimized structure of SiTeAs2.

Output
Formation energy (no corrections) = 0.61 eV/atom
Space group = Cmm2 (35)
Volume = 80.13 Å³/cell
Theoretical density = 6.33 g/cm³

Cell lengths 2.9969, 2.9969, 9.5075 Å; angles 90.00, 90.00, 110.21 degrees
Element x y z (fractional)
As1 0.0000 0.0000 0.9727
As2 0.5000 0.5000 0.7403
Te1 0.5000 0.5000 0.2600
Si1 0.0000 0.0000 0.5270